# 1
# RbNaCa2Nb4O13 | Alexandria | PBE-GGA | relaxed
# Space group: P4/mmm
# Formation energy without anion corrections (eV/atom): -2.612
data_RbNaCa2Nb4O13
_chemical_formula_sum 'Rb1 Na1 Ca2 Nb4 O13'
_symmetry_space_group_name_H-M 'P 1'
_symmetry_Int_Tables_number 1
_cell_length_a 3.9796
_cell_length_b 3.9796
_cell_length_c 19.2719
_cell_angle_alpha 90.00
_cell_angle_beta 90.00
_cell_angle_gamma 90.00
loop_
_symmetry_equiv_pos_as_xyz
'x,y,z'
loop_
_atom_site_label
_atom_site_fract_x
_atom_site_fract_y
_atom_site_fract_z
_atom_site_occupancy
Rb1 0.0000 0.0000 0.0000 1
Na1 0.0000 0.0000 0.5000 1
Ca1 0.0000 0.0000 0.2784 1
Ca2 0.0000 0.0000 0.7216 1
Nb1 0.5000 0.5000 0.1737 1
Nb2 0.5000 0.5000 0.3946 1
Nb3 0.5000 0.5000 0.6054 1
Nb4 0.5000 0.5000 0.8263 1
O1 0.0000 0.5000 0.1959 1
O2 0.0000 0.5000 0.3938 1
O3 0.0000 0.5000 0.6062 1
O4 0.0000 0.5000 0.8041 1
O5 0.5000 0.0000 0.1959 1
O6 0.5000 0.0000 0.3938 1
O7 0.5000 0.0000 0.6062 1
O8 0.5000 0.0000 0.8041 1
O9 0.5000 0.5000 0.0803 1
O10 0.5000 0.5000 0.2933 1
O11 0.5000 0.5000 0.5000 1
O12 0.5000 0.5000 0.7067 1
O13 0.5000 0.5000 0.9197 1


# 2
# NaCa9Ti9NbSi10O50 | Alexandria | PBE-GGA | relaxed
# Space group: P1
# Formation energy without anion corrections (eV/atom): -2.992
data_NaCa9Ti9NbSi10O50
_chemical_formula_sum 'Na1 Ca9 Ti9 Nb1 Si10 O50'
_symmetry_space_group_name_H-M 'P 1'
_symmetry_Int_Tables_number 1
_cell_length_a 5.5110
_cell_length_b 7.5291
_cell_length_c 24.4863
_cell_angle_alpha 81.86
_cell_angle_beta 88.10
_cell_angle_gamma 72.55
loop_
_symmetry_equiv_pos_as_xyz
'x,y,z'
loop_
_atom_site_label
_atom_site_fract_x
_atom_site_fract_y
_atom_site_fract_z
_atom_site_occupancy
Na1 0.0000 0.0000 0.0000 1
Ca1 0.0335 0.6200 0.4290 1
Ca2 0.2172 0.7809 0.5962 1
Ca3 0.2434 0.4047 0.0253 1
Ca4 0.4105 0.5855 0.1987 1
Ca5 0.4364 0.2185 0.6277 1
Ca6 0.6199 0.3803 0.7954 1
Ca7 0.6315 0.0211 0.2296 1
Ca8 0.8142 0.1823 0.3973 1
Ca9 0.8383 0.8158 0.8269 1
Ti1 0.0144 0.3085 0.2148 1
Ti2 0.1259 0.2028 0.5138 1
Ti3 0.2250 0.0995 0.8114 1
Ti4 0.3165 0.0092 0.1159 1
Ti5 0.4178 0.9056 0.4136 1
Ti6 0.5294 0.8010 0.7124 1
Ti7 0.7230 0.6046 0.3152 1
Ti8 0.8216 0.5035 0.6123 1
Ti9 0.9327 0.3940 0.9121 1
Nb1 0.6167 0.7097 0.0114 1
Si1 0.1272 0.5205 0.7249 1
Si2 0.1265 0.8786 0.2991 1
Si3 0.3214 0.3234 0.3272 1
Si4 0.3348 0.6714 0.8952 1
Si5 0.5269 0.1260 0.9233 1
Si6 0.5294 0.4772 0.4981 1
Si7 0.7243 0.9220 0.5260 1
Si8 0.7264 0.2777 0.0999 1
Si9 0.9199 0.7219 0.1276 1
Si10 0.9324 0.0760 0.6970 1
O1 0.0180 0.2031 0.0764 1
O2 0.0340 0.4068 0.3526 1
O3 0.0679 0.5087 0.1584 1
O4 0.0751 0.3219 0.5753 1
O5 0.1020 0.8456 0.1433 1
O6 0.1166 0.5229 0.6573 1
O7 0.1356 0.8767 0.3667 1
O8 0.1489 0.5543 0.8773 1
O9 0.1795 0.0770 0.4484 1
O10 0.1929 0.8879 0.8660 1
O11 0.2204 0.9927 0.6718 1
O12 0.2431 0.2123 0.9493 1
O13 0.2698 0.1215 0.1777 1
O14 0.2733 0.3049 0.7539 1
O15 0.3105 0.3252 0.2596 1
O16 0.3106 0.6419 0.7420 1
O17 0.3478 0.3555 0.4804 1
O18 0.3493 0.6609 0.9632 1
O19 0.3757 0.8820 0.0482 1
O20 0.3833 0.6928 0.4690 1
O21 0.4152 0.7955 0.2741 1
O22 0.4369 0.0054 0.5514 1
O23 0.4686 0.1073 0.3560 1
O24 0.4785 0.9220 0.7737 1
O25 0.5040 0.4447 0.3446 1
O26 0.5188 0.1229 0.8561 1
O27 0.5384 0.4752 0.5657 1
O28 0.5489 0.1523 0.0828 1
O29 0.5747 0.4895 0.0682 1
O30 0.5829 0.6762 0.6471 1
O31 0.6234 0.5910 0.8703 1
O32 0.6316 0.8049 0.1524 1
O33 0.6641 0.9078 0.9522 1
O34 0.6727 0.7234 0.3764 1
O35 0.7080 0.2468 0.9405 1
O36 0.7134 0.9247 0.4584 1
O37 0.7303 0.2819 0.1673 1
O38 0.7510 0.9543 0.6791 1
O39 0.7759 0.4770 0.2499 1
O40 0.7860 0.2916 0.6679 1
O41 0.8176 0.3938 0.4730 1
O42 0.8395 0.6045 0.7501 1
O43 0.8716 0.7057 0.5546 1
O44 0.8828 0.5196 0.9740 1
O45 0.9073 0.0430 0.5434 1
O46 0.9113 0.7130 0.0604 1
O47 0.9415 0.0739 0.7646 1
O48 0.9459 0.7562 0.2812 1
O49 0.9797 0.0938 0.2699 1
O50 0.9861 0.2729 0.8467 1


# 3
# NaCaNbSnO6 | Alexandria | PBE-GGA | relaxed
# Space group: F-43m
# Formation energy without anion corrections (eV/atom): -2.241
data_NaCaNbSnO6
_chemical_formula_sum 'Na1 Ca1 Nb1 Sn1 O6'
_symmetry_space_group_name_H-M 'P 1'
_symmetry_Int_Tables_number 1
_cell_length_a 5.7116
_cell_length_b 5.7116
_cell_length_c 5.7116
_cell_angle_alpha 60.00
_cell_angle_beta 60.00
_cell_angle_gamma 60.00
loop_
_symmetry_equiv_pos_as_xyz
'x,y,z'
loop_
_atom_site_label
_atom_site_fract_x
_atom_site_fract_y
_atom_site_fract_z
_atom_site_occupancy
Na1 0.0000 0.0000 0.0000 1
Ca1 0.5000 0.5000 0.5000 1
Nb1 0.2500 0.2500 0.2500 1
Sn1 0.7500 0.7500 0.7500 1
O1 0.0033 0.0033 0.4967 1
O2 0.0033 0.4967 0.0033 1
O3 0.0033 0.4967 0.4967 1
O4 0.4967 0.0033 0.0033 1
O5 0.4967 0.0033 0.4967 1
O6 0.4967 0.4967 0.0033 1


- Which of these has the highest formation energy without anion corrections?
  NaCaNbSnO6


- Which value of formation energy without anion corrections does entry 2 give?
  -2.992 eV/atom


- formation energy without anion corrections of number 2 (NaCa9Ti9NbSi10O50)?
  -2.992 eV/atom


- What is the formula in the third record?
  NaCaNbSnO6